This record from Alexandria via LeMat-Bulk describes SmTmScSn after structural relaxation. The functional is PBE-GGA.

crystal system: cubic
DFT formation energy: -0.24 eV/atom
final energy: -5.12 eV/atom
space-group type: No. 216
total magnetization: 0.003 μB/f.u.

abc: 5.321 5.321 5.321
angles: 60.00 60.00 60.00
Fractional coordinates of all 4 atoms:
Sn  0.750  0.750  0.750
Sm  0.500  0.500  0.500
Tm  0.000  0.000  0.000
Sc  0.250  0.250  0.250